Arrangement A

Cr2CN: optimized geometry, PBE.

a b c (Å): 3.560 3.560 3.560
angles (deg): 60.00 60.00 60.00
Sites, in units of the cell vectors:
N1 0.500 0.500 0.500
Cr1 0.250 0.250 0.250
Cr2 0.750 0.750 0.750
C1 0.000 0.000 0.000

Properties
DOS at the Fermi energy	2.44	states/eV/cell


Arrangement B

Cr2CN: optimized geometry, PBE.

a b c (Å): 2.900 2.900 5.063
angles (deg): 73.36 73.36 60.00
Sites, in units of the cell vectors:
Cr1 0.253 0.253 0.242
Cr2 0.747 0.747 0.758
N1 0.500 0.500 0.500
C1 0.000 0.000 0.000

Properties
DOS at the Fermi energy	2.87	states/eV/cell


Most stable structure: arrangement B


Arrangement A

CrCSN2: optimized geometry, PBE.

a b c (Å): 3.547 3.547 4.987
angles (deg): 90.00 90.00 90.00
Sites, in units of the cell vectors:
S1 0.000 0.000 0.500
N1 0.500 0.000 0.000
N2 0.000 0.500 0.000
C1 0.500 0.500 0.500
Cr1 0.000 0.000 0.000

Properties
DOS at the Fermi energy	1.91	states/eV/cell


Arrangement B

CrCSN2: optimized geometry, PBE.

a b c (Å): 3.467 3.776 3.467
angles (deg): 90.00 90.00 90.00
Sites, in units of the cell vectors:
C1 0.000 0.000 0.000
N1 0.500 0.000 0.000
N2 0.000 0.000 0.500
S1 0.000 0.500 0.000
Cr1 0.500 0.500 0.500

Properties
DOS at the Fermi energy	5.61	states/eV/cell


Most stable structure: arrangement A